1.
Compound: Na3MnAg3Cl8
Source: the Alexandria database
Functional: PBE
Structure: relaxed

abc: 13.7484 7.9652 7.9466
angles: 90.00 125.09 90.00
Closest atoms and distances in Å follow each position.
Space group C2/m (No. 12)
Asymmetric unit:
Na 0.0000 0.0000 0.0000 (multiplicity 2)  6 Cl 2.83
Na 0.2500 0.2500 0.5000 (multiplicity 4)  6 Cl 2.83
Mn 0.0000 0.0000 0.5000 (multiplicity 2)  6 Cl 2.56
Ag 0.0000 0.5000 0.5000 (multiplicity 2)  6 Cl 2.80-2.82
Ag 0.2500 0.2500 0.0000 (multiplicity 4)  6 Cl 2.79-2.82
Cl 0.0005 0.2286 0.7278 (multiplicity 8)  1 Mn 2.56, 2 Ag 2.82, 2 Na 2.83
Cl 0.2279 0.0000 0.7289 (multiplicity 4)  1 Mn 2.56, 2 Ag 2.82, 2 Na 2.83
Cl 0.2489 0.5000 0.7523 (multiplicity 4)  3 Ag 2.79-2.80, 3 Na 2.83

M_tot   5.0 μB/f.u.
V   23.7 A^3/atom
D(E_F)   0.000 states/eV per atom
Formation energy (no corrections)   -1109 meV per atom
Uncorrected energy   -3.54 eV per atom

---

2.
Compound: SrCuNi2
Source: the Alexandria database
Functional: PBE
Structure: relaxed

abc: 7.0359 4.0095 10.6574
angles: 90.00 90.00 90.00
Closest atoms and distances in Å follow each position.
Space group Pnma (No. 62)
Asymmetric unit:
Sr 0.2361 0.2500 0.2018 (multiplicity 4)  4 Ni 2.92-3.14, 1 Cu 3.09
Cu 0.0684 0.7500 0.4423 (multiplicity 4)  4 Ni 2.42-2.53, 2 Cu 2.54
Ni 0.0716 0.2500 0.9491 (multiplicity 4)  5 Ni 2.37-2.49, 1 Cu 2.53
Ni 0.2458 0.7500 0.9750 (multiplicity 4)  3 Ni 2.37, 3 Cu 2.42-2.44

M_tot   0.1 μB/f.u.
V   18.8 A^3/atom
D(E_F)   1.129 states/eV per atom
ΔE to the lowest computed polymorph   44 meV/atom
Uncorrected energy   -4.36 eV per atom

---

3.
Compound: LiSiAs
Source: the Alexandria database
Functional: PBE
Structure: relaxed

abc: 4.5090 4.5090 2.8052
angles: 90.00 90.00 120.00
Closest atoms and distances in Å follow each position.
Space group P-6m2 (No. 187)
Asymmetric unit:
Li 0.0000 0.0000 0.0000 (multiplicity 1)  2 Li 2.81, 6 As 2.96, 6 Si 2.96
Si 0.3333 0.6667 0.5000 (multiplicity 1)  3 As 2.60, 2 Si 2.81
As 0.6667 0.3333 0.5000 (multiplicity 1)  3 Si 2.60, 2 As 2.81

M_tot   0.0 μB/f.u.
V   16.5 A^3/atom
D(E_F)   0.425 states/eV per atom
ΔE to the lowest computed polymorph   178 meV/atom
Formation energy (no corrections)   -33 meV per atom
Uncorrected energy   -4.03 eV per atom

---

4.
Compound: LiMgRu
Source: the Alexandria database
Functional: PBE
Structure: relaxed

abc: 4.4704 4.4704 2.6034
angles: 90.00 90.00 120.00
Closest atoms and distances in Å follow each position.
Space group P3m1 (No. 156)
Asymmetric unit:
Li 0.0000 0.0000 0.0000 (multiplicity 1)  2 Li 2.60, 3 Mg 2.68, 3 Ru 2.69
Mg 0.6667 0.3333 0.2838 (multiplicity 1)  2 Mg 2.60, 3 Li 2.68, 3 Ru 2.81
Ru 0.3333 0.6667 0.7114 (multiplicity 1)  2 Ru 2.60, 3 Li 2.69, 3 Mg 2.81

M_tot   0.0 μB/f.u.
V   15.0 A^3/atom
D(E_F)   0.997 states/eV per atom
ΔE to the lowest computed polymorph   6 meV/atom
Uncorrected energy   -4.15 eV per atom

---

Repeat the fourth record exactly.
Compound: LiMgRu
Source: the Alexandria database
Functional: PBE
Structure: relaxed

abc: 4.4704 4.4704 2.6034
angles: 90.00 90.00 120.00
Closest atoms and distances in Å follow each position.
Space group P3m1 (No. 156)
Asymmetric unit:
Li 0.0000 0.0000 0.0000 (multiplicity 1)  2 Li 2.60, 3 Mg 2.68, 3 Ru 2.69
Mg 0.6667 0.3333 0.2838 (multiplicity 1)  2 Mg 2.60, 3 Li 2.68, 3 Ru 2.81
Ru 0.3333 0.6667 0.7114 (multiplicity 1)  2 Ru 2.60, 3 Li 2.69, 3 Mg 2.81

M_tot   0.0 μB/f.u.
V   15.0 A^3/atom
D(E_F)   0.997 states/eV per atom
ΔE to the lowest computed polymorph   6 meV/atom
Uncorrected energy   -4.15 eV per atom

---

The highest uncorrected energy belongs to which entry? Na3MnAg3Cl8